Tb4Ag2HgRh | PBE-GGA | optimized geometry Values from VASP.

The structure in Quantum ESPRESSO input format:
```
&SYSTEM
  ibrav = 0, nat = 8, ntyp = 4
/
ATOMIC_SPECIES
Tb 158.93 Tb.upf
Ag 107.87 Ag.upf
Hg 200.59 Hg.upf
Rh 102.91 Rh.upf
ATOMIC_POSITIONS angstrom
Tb 0.000 0.000 2.903
Tb 0.000 0.000 9.178
Tb 0.000 0.000 15.688
Tb 0.000 0.000 21.963
Ag 0.000 0.000 6.065
Ag 0.000 0.000 18.802
Hg 0.000 0.000 12.433
Rh 0.000 0.000 0.000
CELL_PARAMETERS angstrom
2.566 1.481 8.289
-2.566 1.481 8.289
0.000 -2.962 8.289
```

Magnetization   0.000 μB per cell
VASP energy   -4.488 eV per atom
Space group   R-3m
V   23.623 Å³ per atom

Tc2AgHgRh | PBE-GGA | optimized geometry Values from VASP.

The structure in Quantum ESPRESSO input format:
```
&SYSTEM
  ibrav = 0, nat = 5, ntyp = 4
/
ATOMIC_SPECIES
Tc 98.00 Tc.upf
Ag 107.87 Ag.upf
Hg 200.59 Hg.upf
Rh 102.91 Rh.upf
ATOMIC_POSITIONS angstrom
Tc 0.000 2.462 0.000
Tc 2.462 0.000 0.000
Ag 0.000 0.000 0.000
Hg 2.462 2.462 2.443
Rh 0.000 0.000 2.443
CELL_PARAMETERS angstrom
4.924 0.000 0.000
0.000 4.924 0.000
0.000 0.000 4.886
```

Magnetization   6.923 μB per cell
VASP energy   -4.201 eV per atom
Space group   P4/mmm
V   23.696 Å³ per atom

Th2AgHgRh | PBE-GGA | optimized geometry Values from VASP.

The structure in Quantum ESPRESSO input format:
```
&SYSTEM
  ibrav = 0, nat = 10, ntyp = 4
/
ATOMIC_SPECIES
Th 232.04 Th.upf
Ag 107.87 Ag.upf
Hg 200.59 Hg.upf
Rh 102.91 Rh.upf
ATOMIC_POSITIONS angstrom
Th -0.138 0.997 2.765
Th 2.390 0.997 0.056
Th 2.738 2.991 7.608
Th 5.266 2.991 4.900
Ag 2.613 2.991 2.764
Ag 2.514 0.997 4.901
Hg 0.333 2.991 5.328
Hg 4.795 0.997 2.337
Rh 0.523 2.991 0.884
Rh 4.605 0.997 6.780
CELL_PARAMETERS angstrom
8.219 0.000 0.000
0.000 3.988 0.000
-3.091 0.000 7.664
```

Magnetization   0.000 μB per cell
VASP energy   -5.520 eV per atom
Space group   P2_1/m
V   25.120 Å³ per atom

Tm4AgHg2Rh | PBE-GGA | optimized geometry Values from VASP.

The structure in Quantum ESPRESSO input format:
```
&SYSTEM
  ibrav = 0, nat = 8, ntyp = 4
/
ATOMIC_SPECIES
Tm 168.93 Tm.upf
Ag 107.87 Ag.upf
Hg 200.59 Hg.upf
Rh 102.91 Rh.upf
ATOMIC_POSITIONS angstrom
Tm 0.000 0.000 2.908
Tm 0.000 0.000 9.114
Tm 0.000 0.000 15.521
Tm 0.000 0.000 21.727
Ag 0.000 0.000 12.317
Hg 0.000 0.000 6.004
Hg 0.000 0.000 18.630
Rh 0.000 0.000 0.000
CELL_PARAMETERS angstrom
2.538 1.465 8.212
-2.538 1.465 8.212
0.000 -2.930 8.212
```

Magnetization   0.000 μB per cell
VASP energy   -4.135 eV per atom
Space group   R-3m
V   22.898 Å³ per atom

Tm4Ag2HgRh | PBE-GGA | optimized geometry Values from VASP.

The structure in Quantum ESPRESSO input format:
```
&SYSTEM
  ibrav = 0, nat = 8, ntyp = 4
/
ATOMIC_SPECIES
Tm 168.93 Tm.upf
Ag 107.87 Ag.upf
Hg 200.59 Hg.upf
Rh 102.91 Rh.upf
ATOMIC_POSITIONS angstrom
Tm 0.000 0.000 2.878
Tm 0.000 0.000 9.055
Tm 0.000 0.000 15.449
Tm 0.000 0.000 21.626
Ag 0.000 0.000 6.015
Ag 0.000 0.000 18.490
Hg 0.000 0.000 12.252
Rh 0.000 0.000 0.000
CELL_PARAMETERS angstrom
2.517 1.453 8.168
-2.517 1.453 8.168
0.000 -2.907 8.168
```

Magnetization   0.000 μB per cell
VASP energy   -4.443 eV per atom
Space group   R-3m
V   22.414 Å³ per atom

Ag2HgRhW | PBE-GGA | optimized geometry Values from VASP.

The structure in Quantum ESPRESSO input format:
```
&SYSTEM
  ibrav = 0, nat = 5, ntyp = 4
/
ATOMIC_SPECIES
Ag 107.87 Ag.upf
Hg 200.59 Hg.upf
Rh 102.91 Rh.upf
W 183.84 W.upf
ATOMIC_POSITIONS angstrom
Ag 0.000 2.500 0.000
Ag 2.500 0.000 0.000
Hg 0.000 0.000 2.582
Rh 2.500 2.500 2.582
W 0.000 0.000 0.000
CELL_PARAMETERS angstrom
5.000 0.000 0.000
0.000 5.000 0.000
0.000 0.000 5.165
```

Magnetization   0.001 μB per cell
VASP energy   -3.260 eV per atom
Space group   P4/mmm
V   25.827 Å³ per atom

| no. | formation enthalpy at 0 K (eV/atom) |
| --- | --- |
| 1 | -0.504 |
| 2 | 2.046 |
| 3 | -0.451 |
| 4 | -0.548 |
| 5 | -0.538 |
| 6 | 2.001 |